Here is crystalline Ca3Y at its relaxed geometry from Alexandria. Energies are from PBE.

Cell and atoms, written as extended XYZ:
```
4
Lattice="6.063 3.501 1.198 -6.063 3.501 1.198 0.000 -7.001 1.198" Properties=species:S:1:pos:R:3 pbc="T T T"
Ca -3.032 -1.750 1.198
Ca -3.032 1.750 2.395
Ca 0.000 3.501 1.198
Y 0.000 0.000 0.000
```

Summary:
Space-group type   R-3m (166)
Relative energy among the computed polymorphs   84 meV/atom

***

Here is crystalline Ta6Nb2Tc at its relaxed geometry from Alexandria. Energies are from PBE.

Cell and atoms, written as extended XYZ:
```
9
Lattice="2.835 0.000 0.000 -1.145 7.118 0.000 -0.911 -1.528 8.026" Properties=species:S:1:pos:R:3 pbc="T T T"
Ta -0.403 0.802 2.271
Ta -0.615 5.304 3.181
Ta -0.410 2.279 6.608
Ta 1.188 3.311 1.418
Ta 1.394 0.286 4.845
Ta 1.182 4.788 5.754
Nb -0.182 5.825 0.491
Nb 0.960 -0.235 7.535
Tc 0.389 2.795 4.013
```

Summary:
Space-group type   P-1 (2)
Relative energy among the computed polymorphs   0 meV/atom

***

Here is crystalline TbDyPtAu at its relaxed geometry from Alexandria. Energies are from PBE.

Cell and atoms, written as extended XYZ:
```
4
Lattice="0.000 3.553 3.553 3.553 0.000 3.553 3.553 3.553 0.000" Properties=species:S:1:pos:R:3 pbc="T T T"
Tb 0.000 0.000 0.000
Dy 3.553 3.553 3.553
Pt 5.329 5.329 5.329
Au 1.776 1.776 1.776
```

Summary:
Space-group type   F-43m (216)
Relative energy among the computed polymorphs   53 meV/atom

***

Calculated values (meV per atom) of ΔH_f (0 K) for the records, taken in order: 113; 17; -1030.